Record 1
VASP calculation (PBE) on a relaxed structure of Si3Cl.

Its space group is R-3m (166). For the calculated volume, the calculation gives 17.47 A^3/atom. The value obtained for the energy above the most stable polymorph in this dataset is 0.283 eV per atom.

abc: 4.504 4.504 4.504
angles: 109.65 109.65 109.65
Fractional positions:
Si 0.500 0.500 0.000
Cl 0.000 0.000 0.000
Si 0.000 0.500 0.500
Si 0.500 0.000 0.500


Record 2
VASP calculation (PBE) on a relaxed structure of Tm4Hg3Rh.

Its space group is P4/mmm (123). As for the formation energy: -0.60 eV per atom. For the calculated volume, the calculation gives 23.37 A^3/atom.

abc: 3.550 3.550 14.835
angles: 90.00 90.00 90.00
Fractional positions:
Hg 0.500 0.500 0.500
Hg 0.500 0.500 0.756
Tm 0.000 0.000 0.892
Tm 0.000 0.000 0.108
Tm 0.000 0.000 0.629
Tm 0.000 0.000 0.371
Rh 0.500 0.500 0.000
Hg 0.500 0.500 0.244


Record 3
VASP calculation (PBE) on a relaxed structure of Mo3Rh4.

Its space group is Immm (71). As for the formation energy: -0.17 eV per atom. For the calculated volume, the calculation gives 14.78 A^3/atom. The value obtained for the energy above the most stable polymorph in this dataset is 0.000 eV per atom.

abc: 2.750 3.891 9.958
angles: 101.27 97.94 90.00
Fractional positions:
Rh 0.712 0.212 0.424
Rh 0.430 0.930 0.860
Mo 0.856 0.356 0.711
Mo 0.000 0.500 0.000
Rh 0.288 0.788 0.576
Mo 0.144 0.644 0.289
Rh 0.570 0.070 0.140